# Cs2Zn2InI6, relaxed, DFT GGA-PBE
data_Cs2Zn2InI6
_chemical_formula_sum 'Cs4 Zn4 In2 I12'
_cell_length_a 14.8509
_cell_length_b 8.6604
_cell_length_c 9.6518
_cell_angle_alpha 90.00
_cell_angle_beta 121.21
_cell_angle_gamma 90.00
_space_group_name_H-M_alt 'C 1 2/m 1'
_space_group_IT_number 12
loop_
_space_group_symop_operation_xyz
'x,y,z'
'-x,-y,-z'
'-x,y,-z'
'x,-y,z'
'x+1/2,y+1/2,z'
'-x+1/2,-y+1/2,-z'
'-x+1/2,y+1/2,-z'
'x+1/2,-y+1/2,z'
loop_
_atom_site_label
_atom_site_fract_x
_atom_site_fract_y
_atom_site_fract_z
Cs1 0.2182 0.0000 0.2179
Zn1 0.0288 0.5000 0.1483
In1 0.0000 0.0000 0.5000
I1 0.0529 0.2466 0.8021
I2 0.2382 0.5000 0.3404
# Final energy: -2.314 eV per atom
# N(E_F): 4.2 states/eV/f.u.
# Spin magnetization: 0.010 μB/cell